Entry 1:
A relaxed structure of Sc2TlZn. Source: Alexandria via LeMat-Bulk, functional PBE-GGA.

POSCAR file:
```
Sc2TlZn
1.0
9.2765 0.0404 0.0239
8.6400 3.3771 0.0239
8.6400 1.6481 2.9477
Sc Tl Zn
2 1 1
Cartesian
13.0779 2.4946 1.4752
0.2003 0.0382 0.0226
6.6391 1.2664 0.7489
19.9174 3.7992 2.2467
```

formation energy = -182 meV/atom


Entry 2:
A relaxed structure of Pa2BiI8. Source: Alexandria via LeMat-Bulk, functional PBE-GGA.

POSCAR file:
```
Pa2BiI8
1.0
9.7229 -0.4483 -0.3835
-0.1586 8.3439 -1.8264
-0.1586 -0.5109 8.5262
I Pa Bi
8 2 1
Cartesian
7.5253 0.3669 5.6021
5.9431 1.1196 0.9576
1.8805 7.0179 0.7143
6.8458 4.4645 3.8186
3.4627 6.2651 5.3587
7.5253 5.5912 -0.5060
1.8805 1.7935 6.8223
2.5600 2.9203 2.4978
6.5033 6.6586 5.6952
2.9025 0.7262 0.6211
0.0000 0.0000 0.0000
```

ΔE_f (raw) = -0.727 eV/atom


Entry 3:
A relaxed structure of TcRu. Source: Alexandria via LeMat-Bulk, functional PBE-GGA.

POSCAR file:
```
TcRu
1.0
-0.6128 -2.6391 -0.2103
4.0879 0.6969 -3.1002
2.6038 -0.8628 3.2395
Ru Tc
2 2
Cartesian
2.1514 -2.0498 1.8965
3.9276 -0.7552 -1.9675
4.1369 -2.3767 0.2135
1.9420 -0.4283 -0.2845
```

formation energy = 95 meV/atom


Entry 4:
A relaxed structure of LiMg2P. Source: Alexandria via LeMat-Bulk, functional PBE-GGA.

POSCAR file:
```
LiMg2P
1.0
4.1573 0.0000 0.0000
0.0000 4.1594 0.0000
0.0000 0.0000 3.9397
Mg Li P
2 1 1
Cartesian
2.0787 2.0797 0.0000
0.0000 0.0000 0.0000
0.0000 2.0797 1.9699
2.0787 0.0000 1.9699
```

formation energy = -331 meV/atom


Entry 5:
A relaxed structure of TbCe3Sc2P6. Source: Alexandria via LeMat-Bulk, functional PBE-GGA.

POSCAR file:
```
TbCe3Sc2P6
1.0
6.8931 -0.0014 -0.0010
-3.4461 5.9699 -0.0010
-1.1507 -1.9924 6.4497
Sc Tb P Ce
2 1 6 3
Cartesian
3.4538 1.9850 -0.0010
-0.0067 3.9835 -0.0010
0.0000 0.0000 0.0000
0.0301 0.0521 4.9307
2.2663 3.9240 1.5170
3.4754 1.9340 4.9133
-1.1790 2.0421 1.5344
2.3580 -0.0007 1.5344
-0.0617 3.9768 4.9133
1.1482 1.9880 3.2239
4.6149 -0.0141 3.2239
-2.3186 3.9902 3.2239
```

formation energy = -1495 meV/atom


Entry 6:
A relaxed structure of PaZnSnO. Source: Alexandria via LeMat-Bulk, functional PBE-GGA.

POSCAR file:
```
PaZnSnO
1.0
4.0537 0.0000 0.0000
0.0000 4.0537 0.0000
0.0000 0.0000 9.2820
O Pa Sn Zn
2 2 2 2
Cartesian
2.0269 2.0269 4.6410
0.0000 0.0000 4.6410
0.0000 2.0269 3.3950
2.0269 0.0000 5.8870
2.0269 0.0000 1.8388
0.0000 2.0269 7.4432
2.0269 2.0269 0.0000
0.0000 0.0000 0.0000
```

ΔE_f (raw) = -1.341 eV/atom


The records above give, respectively, total magnetic moment values of 0.00 1.09 0.00 0.00 1.34 2.16 μB per cell.